Crystalline Be2CdAu7 at its relaxed geometry, computed with PBE.

Lattice parameters (Å, degrees): 4.118 4.118 10.470 101.34 101.34 90.00
Element x y z (fractional)
Cd 0.000 0.000 0.000
Be 0.322 0.322 0.643
Be 0.678 0.678 0.357
Au 0.609 0.109 0.219
Au 0.750 0.250 0.500
Au 0.391 0.891 0.781
Au 0.109 0.609 0.219
Au 0.500 0.500 0.000
Au 0.250 0.750 0.500
Au 0.891 0.391 0.781

Properties
crystal system: tetragonal
total moment: 0.00 μB per atom
formation energy from the elements: -0.115 eV/atom

***

Crystalline BeCd2Au at its relaxed geometry, computed with PBE.

Lattice parameters (Å, degrees): 4.610 4.610 4.610 60.00 60.00 60.00
Element x y z (fractional)
Au 0.500 0.500 0.500
Cd 0.000 0.000 0.000
Cd 0.250 0.250 0.250
Be 0.750 0.750 0.750

Properties
crystal system: cubic
total moment: 0.00 μB per atom
formation energy from the elements: 0.206 eV/atom

***

Crystalline BeCd2Au at its relaxed geometry, computed with PBE.

Lattice parameters (Å, degrees): 5.035 5.035 5.035 131.77 131.87 70.51
Element x y z (fractional)
Au 0.250 0.750 0.500
Be 0.750 0.250 0.500
Cd 0.500 0.500 0.000
Cd 0.000 0.000 0.000

Properties
crystal system: tetragonal
total moment: 0.00 μB per atom
formation energy from the elements: 0.177 eV/atom

***

Crystalline Be3CdAu3 at its relaxed geometry, computed with PBE.

Lattice parameters (Å, degrees): 6.379 6.379 6.379 90.00 90.00 90.00
Element x y z (fractional)
Au 0.250 0.500 0.000
Au 0.500 0.000 0.250
Au 0.500 0.000 0.750
Au 0.750 0.500 0.000
Au 0.000 0.750 0.500
Au 0.000 0.250 0.500
Cd 0.500 0.500 0.500
Cd 0.000 0.000 0.000
Be 0.750 0.000 0.500
Be 0.000 0.500 0.750
Be 0.000 0.500 0.250
Be 0.500 0.250 0.000
Be 0.250 0.000 0.500
Be 0.500 0.750 0.000

Properties
crystal system: cubic
total moment: 0.00 μB per atom
formation energy from the elements: 0.236 eV/atom

***

Crystalline Be2CdAu at its relaxed geometry, computed with PBE.

Lattice parameters (Å, degrees): 8.389 8.389 8.389 19.78 19.78 19.78
Element x y z (fractional)
Au 0.750 0.750 0.750
Be 0.008 0.008 0.008
Be 0.492 0.492 0.492
Cd 0.250 0.250 0.250

Properties
crystal system: trigonal
total moment: 0.00 μB per atom
formation energy from the elements: 0.327 eV/atom

***

Crystalline Be2CdAu4 at its relaxed geometry, computed with PBE.

Lattice parameters (Å, degrees): 5.588 5.588 13.695 90.00 90.00 147.35
Element x y z (fractional)
Au 0.805 0.195 0.090
Au 0.197 0.803 0.250
Au 0.805 0.195 0.410
Au 0.500 0.500 0.500
Au 0.195 0.805 0.590
Au 0.803 0.197 0.750
Au 0.195 0.805 0.910
Au 0.500 0.500 0.000
Be 0.132 0.868 0.412
Be 0.868 0.132 0.588
Be 0.868 0.132 0.912
Be 0.132 0.868 0.088
Cd 0.529 0.471 0.750
Cd 0.471 0.529 0.250

Properties
crystal system: orthorhombic
total moment: 0.00 μB per atom
formation energy from the elements: -0.042 eV/atom

***

Crystalline Be2CdAu at its relaxed geometry, computed with PBE.

Lattice parameters (Å, degrees): 4.089 4.089 4.702 77.76 77.76 58.91
Element x y z (fractional)
Be 0.573 0.573 0.294
Be 0.927 0.927 0.206
Cd 0.750 0.750 0.750
Au 0.250 0.250 0.250

Properties
crystal system: monoclinic
total moment: 0.00 μB per atom
formation energy from the elements: 0.066 eV/atom

***

Crystalline Be2CdAu at its relaxed geometry, computed with PBE.

Lattice parameters (Å, degrees): 4.360 4.360 4.360 60.00 60.00 60.00
Element x y z (fractional)
Be 0.000 0.000 0.000
Be 0.250 0.250 0.250
Cd 0.750 0.750 0.750
Au 0.500 0.500 0.500

Properties
crystal system: cubic
total moment: 0.00 μB per atom
formation energy from the elements: 0.340 eV/atom

***

Crystalline Be2CdAu at its relaxed geometry, computed with PBE.

Lattice parameters (Å, degrees): 3.118 3.016 6.705 62.73 90.00 90.00
Element x y z (fractional)
Au 0.500 0.750 0.750
Cd 0.500 0.250 0.250
Be 0.000 0.038 0.960
Be 0.000 0.462 0.540

Properties
crystal system: monoclinic
total moment: 0.00 μB per atom
formation energy from the elements: 0.117 eV/atom

***

Crystalline Be3CdAu at its relaxed geometry, computed with PBE.

Lattice parameters (Å, degrees): 4.401 4.401 4.401 90.00 90.00 90.00
Element x y z (fractional)
Be 0.500 0.000 0.000
Be 0.000 0.000 0.500
Be 0.000 0.500 0.000
Au 0.500 0.500 0.500
Cd 0.000 0.000 0.000

Properties
crystal system: cubic
E above lowest polymorph: 591 meV/atom
total moment: 0.00 μB per atom
formation energy from the elements: 1.082 eV/atom

***

Crystalline BeCd4Au at its relaxed geometry, computed with PBE.

Lattice parameters (Å, degrees): 5.589 5.589 5.589 60.00 60.00 60.00
Element x y z (fractional)
Cd 0.375 0.875 0.375
Cd 0.875 0.375 0.375
Cd 0.375 0.375 0.875
Cd 0.375 0.375 0.375
Au 0.750 0.750 0.750
Be 0.000 0.000 0.000

Properties
crystal system: cubic
total moment: 0.00 μB per atom
formation energy from the elements: 0.448 eV/atom

***

Crystalline BeCd2Au at its relaxed geometry, computed with PBE.

Lattice parameters (Å, degrees): 4.939 4.939 3.061 90.00 90.00 108.86
Element x y z (fractional)
Be 0.000 0.500 0.500
Cd 0.500 0.500 0.000
Cd 0.000 0.000 0.000
Au 0.500 0.000 0.500

Properties
crystal system: orthorhombic
total moment: 0.00 μB per atom
formation energy from the elements: 0.203 eV/atom